First-principles (PBE-GGA) data for an optimized crystal structure of BaCaLa2, as listed in the Alexandria database.

Results
Size of the total moment = 0.000 μB per cell
Relative energy among the computed polymorphs = 0 meV per atom
Uncorrected energy = -3.382 eV/atom
Energy of formation from the pure elements = 0.06 eV/atom

Cell: 3.8937 3.8937 11.4857 Å, 90.00 90.00 90.00°
Closest atoms and distances in Å follow each position.
Sites, in units of the cell vectors:
Ba1 0.0000 0.0000 0.0000  4 Ba 3.89, 4 La 4.17, 4 Ca 4.26
Ca1 0.5000 0.5000 0.2829  4 Ca 3.89, 4 La 3.90, 4 Ba 4.26
La1 0.0000 0.0000 0.5230  8 La 3.62-3.89, 4 Ca 3.90
La2 0.5000 0.5000 0.7277  8 La 3.62-3.89